*A*
La2Y2Os after structural relaxation. Source: Alexandria, functional GGA-PBE.

Values from the calculation:
V (Å³ per atom): 32.11
N(E_F) (states/eV/cell): 13.0

a = 12.2513 Å, b = 12.2513 Å, c = 5.9673 Å
α = 91.34°, β = 91.34°, γ = 21.02°
Atoms (fractional coordinates):
La 0.0509 0.0509 0.2557
La 0.3079 0.3079 0.5402
La 0.6921 0.6921 0.4598
La 0.9491 0.9491 0.7443
Y 0.1888 0.1888 0.9900
Y 0.4288 0.4288 0.2324
Y 0.5712 0.5712 0.7676
Y 0.8112 0.8112 0.0100
Os 0.1281 0.1281 0.5916
Os 0.8719 0.8719 0.4084


*B*
La2Y2Os after structural relaxation. Source: Alexandria, functional GGA-PBE.

Values from the calculation:
V (Å³ per atom): 30.22
N(E_F) (states/eV/cell): 14.3

a = 7.2785 Å, b = 7.2785 Å, c = 5.7043 Å
α = 90.00°, β = 90.00°, γ = 90.00°
Atoms (fractional coordinates):
La 0.1546 0.3454 0.0000
La 0.3454 0.8454 0.0000
La 0.6546 0.1546 0.0000
La 0.8454 0.6546 0.0000
Y 0.1705 0.6705 0.5000
Y 0.3295 0.1705 0.5000
Y 0.6705 0.8295 0.5000
Y 0.8295 0.3295 0.5000
Os 0.0000 0.0000 0.0000
Os 0.5000 0.5000 0.0000


Which of them is the most stable, and which is the least stable? *A* and *B*, in that order.


*A*
La3YOs after structural relaxation. Source: Alexandria, functional GGA-PBE.

Values from the calculation:
V (Å³ per atom): 36.18
N(E_F) (states/eV/cell): 6.1

a = 5.6557 Å, b = 5.6557 Å, c = 5.6557 Å
α = 90.00°, β = 90.00°, γ = 90.00°
Atoms (fractional coordinates):
La 0.0000 0.0000 0.5000
La 0.0000 0.5000 0.0000
La 0.5000 0.0000 0.0000
Y 0.5000 0.5000 0.5000
Os 0.0000 0.0000 0.0000


*B*
La3YOs after structural relaxation. Source: Alexandria, functional GGA-PBE.

Values from the calculation:
V (Å³ per atom): 33.29
N(E_F) (states/eV/cell): 7.2

a = 5.5011 Å, b = 5.5011 Å, c = 5.5011 Å
α = 90.00°, β = 90.00°, γ = 90.00°
Atoms (fractional coordinates):
La 0.0000 0.0000 0.5000
La 0.0000 0.5000 0.0000
La 0.5000 0.0000 0.0000
Y 0.0000 0.0000 0.0000
Os 0.5000 0.5000 0.5000


Which of them is the most stable, and which is the least stable? *A* and *B*, in that order.


*A*
La4ZnOs after structural relaxation. Source: Alexandria, functional GGA-PBE.

Values from the calculation:
V (Å³ per atom): 27.84
N(E_F) (states/eV/cell): 11.6

a = 6.1816 Å, b = 6.1816 Å, c = 6.1816 Å
α = 60.00°, β = 60.00°, γ = 60.00°
Atoms (fractional coordinates):
La 0.1234 0.1234 0.1234
La 0.1234 0.1234 0.6298
La 0.1234 0.6298 0.1234
La 0.6298 0.1234 0.1234
Zn 0.5000 0.5000 0.5000
Os 0.7500 0.7500 0.7500


*B*
La4ZnOs after structural relaxation. Source: Alexandria, functional GGA-PBE.

Values from the calculation:
V (Å³ per atom): 33.21
N(E_F) (states/eV/cell): 13.4

a = 8.8740 Å, b = 8.8740 Å, c = 7.0528 Å
α = 108.47°, β = 108.47°, γ = 116.24°
Atoms (fractional coordinates):
La 0.0524 0.6215 0.8412
La 0.1976 0.2712 0.7390
La 0.2712 0.1976 0.2390
La 0.3785 0.9476 0.6588
La 0.6215 0.0524 0.3412
La 0.7288 0.8024 0.7610
La 0.8024 0.7288 0.2610
La 0.9476 0.3785 0.1588
Zn 0.3768 0.6232 0.2500
Zn 0.6232 0.3768 0.7500
Os 0.0913 0.9087 0.7500
Os 0.9087 0.0913 0.2500


Which of them is the most stable, and which is the least stable? *B* and *A*, in that order.


*A*
La8Zn2Os after structural relaxation. Source: Alexandria, functional GGA-PBE.

Values from the calculation:
V (Å³ per atom): 29.66
N(E_F) (states/eV/cell): 13.6

a = 8.7982 Å, b = 8.7982 Å, c = 8.7982 Å
α = 140.77°, β = 129.80°, γ = 65.50°
Atoms (fractional coordinates):
La 0.1301 0.3640 0.7661
La 0.1434 0.1434 0.0000
La 0.2765 0.0000 0.2765
La 0.4022 0.6360 0.7661
La 0.5978 0.3640 0.2339
La 0.7235 0.0000 0.7235
La 0.8566 0.8566 0.0000
La 0.8699 0.6360 0.2339
Zn 0.3097 0.8097 0.5000
Zn 0.6903 0.1903 0.5000
Os 0.0000 0.5000 0.5000


*B*
La8Zn2Os after structural relaxation. Source: Alexandria, functional GGA-PBE.

Values from the calculation:
V (Å³ per atom): 30.57
N(E_F) (states/eV/cell): 12.7

a = 9.5906 Å, b = 9.5906 Å, c = 7.0532 Å
α = 100.31°, β = 100.31°, γ = 31.84°
Atoms (fractional coordinates):
La 0.0249 0.0249 0.2904
La 0.2029 0.2029 0.8098
La 0.3457 0.3457 0.5435
La 0.4104 0.4104 0.0693
La 0.5896 0.5896 0.9307
La 0.6543 0.6543 0.4565
La 0.7971 0.7971 0.1902
La 0.9751 0.9751 0.7096
Zn 0.1927 0.1927 0.2362
Zn 0.8073 0.8073 0.7638
Os 0.5000 0.5000 0.5000


Which of them is the most stable, and which is the least stable? *B* and *A*, in that order.


*A*
La2ZrOs after structural relaxation. Source: Alexandria, functional GGA-PBE.

Values from the calculation:
V (Å³ per atom): 26.47
N(E_F) (states/eV/cell): 6.0

a = 10.0598 Å, b = 10.0598 Å, c = 10.0598 Å
α = 20.17°, β = 20.17°, γ = 20.17°
Atoms (fractional coordinates):
La 0.2385 0.2385 0.2385
La 0.7615 0.7615 0.7615
Zr 0.0000 0.0000 0.0000
Os 0.5000 0.5000 0.5000


*B*
La2ZrOs after structural relaxation. Source: Alexandria, functional GGA-PBE.

Values from the calculation:
V (Å³ per atom): 24.42
N(E_F) (states/eV/cell): 4.2

a = 5.5613 Å, b = 5.5613 Å, c = 3.4631 Å
α = 90.00°, β = 90.00°, γ = 114.24°
Atoms (fractional coordinates):
La 0.0000 0.5000 0.0000
La 0.5000 0.0000 0.0000
Zr 0.0000 0.0000 0.5000
Os 0.5000 0.5000 0.5000


*C*
La2ZrOs after structural relaxation. Source: Alexandria, functional GGA-PBE.

Values from the calculation:
V (Å³ per atom): 26.84
N(E_F) (states/eV/cell): 3.1

a = 6.3980 Å, b = 6.3980 Å, c = 5.3920 Å
α = 114.89°, β = 114.89°, γ = 32.77°
Atoms (fractional coordinates):
La 0.0000 0.0000 0.0000
La 0.2076 0.2076 0.7078
Zr 0.4013 0.4013 0.4012
Os 0.7281 0.7281 0.2290


*D*
La2ZrOs after structural relaxation. Source: Alexandria, functional GGA-PBE.

Values from the calculation:
V (Å³ per atom): 23.52
N(E_F) (states/eV/cell): 5.1

a = 3.5533 Å, b = 5.1399 Å, c = 5.1509 Å
α = 90.00°, β = 90.00°, γ = 90.00°
Atoms (fractional coordinates):
La 0.0000 0.0000 0.0000
La 0.5000 0.5000 0.0000
Zr 0.0000 0.5000 0.5000
Os 0.5000 0.0000 0.5000


Which of them is the most stable, and which is the least stable? *C* and *A*, in that order.


*A*
La2ZrOs after structural relaxation. Source: Alexandria, functional GGA-PBE.

Values from the calculation:
V (Å³ per atom): 26.80
N(E_F) (states/eV/cell): 5.0

a = 3.4124 Å, b = 3.4124 Å, c = 9.2074 Å
α = 90.00°, β = 90.00°, γ = 90.00°
Atoms (fractional coordinates):
La 0.0000 0.0000 0.0000
La 0.5000 0.5000 0.3545
Zr 0.5000 0.5000 0.7217
Os 0.0000 0.0000 0.5694


*B*
La2ZrOs after structural relaxation. Source: Alexandria, functional GGA-PBE.

Values from the calculation:
V (Å³ per atom): 24.13
N(E_F) (states/eV/cell): 5.1

a = 5.9934 Å, b = 5.9934 Å, c = 5.9934 Å
α = 137.67°, β = 137.67°, γ = 61.41°
Atoms (fractional coordinates):
La 0.0000 0.0000 0.0000
La 0.7500 0.2500 0.5000
Zr 0.5000 0.5000 0.0000
Os 0.2500 0.7500 0.5000


Which of them is the most stable, and which is the least stable? *A* and *B*, in that order.


*A*
LaZr2Os after structural relaxation. Source: Alexandria, functional GGA-PBE.

Values from the calculation:
V (Å³ per atom): 22.38
N(E_F) (states/eV/cell): 4.9

a = 4.2137 Å, b = 4.2137 Å, c = 5.0429 Å
α = 90.00°, β = 90.00°, γ = 90.00°
Atoms (fractional coordinates):
La 0.0000 0.0000 0.0000
Zr 0.0000 0.5000 0.5000
Zr 0.5000 0.0000 0.5000
Os 0.5000 0.5000 0.0000


*B*
LaZr2Os after structural relaxation. Source: Alexandria, functional GGA-PBE.

Values from the calculation:
V (Å³ per atom): 20.96
N(E_F) (states/eV/cell): 4.1

a = 5.0120 Å, b = 5.0120 Å, c = 3.3382 Å
α = 90.00°, β = 90.00°, γ = 90.00°
Atoms (fractional coordinates):
La 0.0000 0.0000 0.0000
Zr 0.0000 0.5000 0.5000
Zr 0.5000 0.0000 0.5000
Os 0.5000 0.5000 0.0000


Which of them is the most stable, and which is the least stable? *B* and *A*, in that order.


*A*
LaZr2Os after structural relaxation. Source: Alexandria, functional GGA-PBE.

Values from the calculation:
V (Å³ per atom): 23.42
N(E_F) (states/eV/cell): 3.6

a = 3.3169 Å, b = 4.3874 Å, c = 6.4380 Å
α = 90.00°, β = 90.00°, γ = 90.00°
Atoms (fractional coordinates):
La 0.0000 0.0000 0.0000
Zr 0.0000 0.0000 0.4382
Zr 0.5000 0.5000 0.6652
Os 0.5000 0.5000 0.2757


*B*
LaZr2Os after structural relaxation. Source: Alexandria, functional GGA-PBE.

Values from the calculation:
V (Å³ per atom): 25.52
N(E_F) (states/eV/cell): 10.1

a = 6.5319 Å, b = 6.5319 Å, c = 6.5319 Å
α = 102.77°, β = 102.77°, γ = 123.90°
Atoms (fractional coordinates):
La 0.0000 0.0000 0.0000
La 0.7500 0.2500 0.5000
Zr 0.1941 0.1250 0.5691
Zr 0.3750 0.8059 0.9309
Zr 0.5559 0.6250 0.4309
Zr 0.8750 0.4441 0.0691
Os 0.2500 0.7500 0.5000
Os 0.5000 0.5000 0.0000


*C*
LaZr2Os after structural relaxation. Source: Alexandria, functional GGA-PBE.

Values from the calculation:
V (Å³ per atom): 23.88
N(E_F) (states/eV/cell): 3.5

a = 6.2180 Å, b = 6.2180 Å, c = 5.3014 Å
α = 115.15°, β = 115.15°, γ = 31.29°
Atoms (fractional coordinates):
La 0.0000 0.0000 0.0000
Zr 0.2029 0.2029 0.7027
Zr 0.7971 0.7971 0.2973
Os 0.5000 0.5000 0.5000


Which of them is the most stable, and which is the least stable? *C* and *B*, in that order.


*A*
LaZr2Os after structural relaxation. Source: Alexandria, functional GGA-PBE.

Values from the calculation:
V (Å³ per atom): 21.74
N(E_F) (states/eV/cell): 4.3

a = 3.4084 Å, b = 4.9184 Å, c = 5.1878 Å
α = 90.00°, β = 90.00°, γ = 90.00°
Atoms (fractional coordinates):
La 0.0000 0.0000 0.0000
Zr 0.0000 0.5000 0.5000
Zr 0.5000 0.5000 0.0000
Os 0.5000 0.0000 0.5000


*B*
LaZr2Os after structural relaxation. Source: Alexandria, functional GGA-PBE.

Values from the calculation:
V (Å³ per atom): 23.71
N(E_F) (states/eV/cell): 4.5

a = 3.2788 Å, b = 4.4144 Å, c = 6.6200 Å
α = 90.00°, β = 98.12°, γ = 90.00°
Atoms (fractional coordinates):
La 0.0000 0.0000 0.0000
Zr 0.3947 0.5000 0.6579
Zr 0.8746 0.0000 0.4372
Os 0.4729 0.5000 0.2742


Which of them is the most stable, and which is the least stable? *B* and *A*, in that order.


*A*
LaZr2Os after structural relaxation. Source: Alexandria, functional GGA-PBE.

Values from the calculation:
V (Å³ per atom): 21.77
N(E_F) (states/eV/cell): 7.1

a = 4.9739 Å, b = 4.9739 Å, c = 4.9739 Å
α = 119.93°, β = 119.93°, γ = 90.12°
Atoms (fractional coordinates):
La 0.0000 0.0000 0.0000
Zr 0.5000 0.5000 0.0000
Zr 0.7500 0.2500 0.5000
Os 0.2500 0.7500 0.5000


*B*
LaZr2Os after structural relaxation. Source: Alexandria, functional GGA-PBE.

Values from the calculation:
V (Å³ per atom): 22.74
N(E_F) (states/eV/cell): 2.5

a = 3.3218 Å, b = 3.3218 Å, c = 8.2449 Å
α = 90.00°, β = 90.00°, γ = 90.00°
Atoms (fractional coordinates):
La 0.0000 0.0000 0.0000
Zr 0.5000 0.5000 0.3070
Zr 0.5000 0.5000 0.6930
Os 0.0000 0.0000 0.5000


*C*
LaZr2Os after structural relaxation. Source: Alexandria, functional GGA-PBE.

Values from the calculation:
V (Å³ per atom): 21.34
N(E_F) (states/eV/cell): 5.3

a = 5.6057 Å, b = 5.6057 Å, c = 3.2174 Å
α = 100.48°, β = 100.48°, γ = 115.99°
Atoms (fractional coordinates):
La 0.0000 0.0000 0.0000
Zr 0.0000 0.5000 0.5000
Zr 0.5000 0.0000 0.5000
Os 0.5000 0.5000 0.0000


Which of them is the most stable, and which is the least stable? *B* and *C*, in that order.


*A*
LaZr2Os after structural relaxation. Source: Alexandria, functional GGA-PBE.

Values from the calculation:
V (Å³ per atom): 20.91
N(E_F) (states/eV/cell): 5.1

a = 4.9088 Å, b = 4.9088 Å, c = 4.9088 Å
α = 60.00°, β = 60.00°, γ = 60.00°
Atoms (fractional coordinates):
La 0.0000 0.0000 0.0000
Zr 0.2500 0.2500 0.2500
Zr 0.7500 0.7500 0.7500
Os 0.5000 0.5000 0.5000


*B*
LaZr2Os after structural relaxation. Source: Alexandria, functional GGA-PBE.

Values from the calculation:
V (Å³ per atom): 23.69
N(E_F) (states/eV/cell): 5.2

a = 3.3199 Å, b = 3.3199 Å, c = 8.5962 Å
α = 90.00°, β = 90.00°, γ = 90.00°
Atoms (fractional coordinates):
La 0.0000 0.0000 0.0000
Zr 0.0000 0.0000 0.4099
Zr 0.5000 0.5000 0.6515
Os 0.5000 0.5000 0.2350


Which of them is the most stable, and which is the least stable? *B* and *A*, in that order.


*A*
LaZr2Os2 after structural relaxation. Source: Alexandria, functional GGA-PBE.

Values from the calculation:
V (Å³ per atom): 20.57
N(E_F) (states/eV/cell): 14.6

a = 8.1446 Å, b = 8.1446 Å, c = 3.1004 Å
α = 90.00°, β = 90.00°, γ = 90.00°
Atoms (fractional coordinates):
La 0.0000 0.0000 0.0000
La 0.5000 0.5000 0.0000
Zr 0.1390 0.3610 0.0000
Zr 0.3610 0.8610 0.0000
Zr 0.6390 0.1390 0.0000
Zr 0.8610 0.6390 0.0000
Os 0.1508 0.6508 0.5000
Os 0.3492 0.1508 0.5000
Os 0.6508 0.8492 0.5000
Os 0.8492 0.3492 0.5000


*B*
LaZr2Os2 after structural relaxation. Source: Alexandria, functional GGA-PBE.

Values from the calculation:
V (Å³ per atom): 22.96
N(E_F) (states/eV/cell): 4.6

a = 6.5496 Å, b = 6.5496 Å, c = 6.5496 Å
α = 140.05°, β = 140.05°, γ = 57.77°
Atoms (fractional coordinates):
La 0.0000 0.0000 0.0000
Zr 0.2500 0.7500 0.5000
Zr 0.7500 0.2500 0.5000
Os 0.3890 0.3890 0.0000
Os 0.6110 0.6110 0.0000


Which of them is the most stable, and which is the least stable? *B* and *A*, in that order.